Compound: Sr2AuCl
Source: Alexandria via LeMat-Bulk
Functional: PBE
Structure: optimized geometry

Computed properties:
* calculated volume: 126.2 Å³/f.u.
* DOS at the Fermi energy: 1.50 states/eV/f.u.
* raw formation energy: -1.060 eV per atom
* offset from the most stable computed form: 0.818 eV/f.u.

Cell: 5.7644 5.7644 5.7644 Å, 131.97 111.60 87.89°
Last column: nearest neighbours and their distance in Å.
Fractional positions:
Au (0.7500, 0.2500, 0.5000)  4 Sr 3.21
Sr (0.0132, 0.0132, 0.0000)  2 Cl 3.06, 2 Au 3.21
Sr (0.4868, 0.4868, 0.0000)  2 Cl 3.06, 2 Au 3.21
Cl (0.2500, 0.7500, 0.5000)  4 Sr 3.06

Compound: SrAu2Cl
Source: Alexandria via LeMat-Bulk
Functional: PBE
Structure: optimized geometry

Computed properties:
* calculated volume: 109.0 Å³/f.u.
* DOS at the Fermi energy: 1.09 states/eV/f.u.
* raw formation energy: -0.934 eV per atom
* offset from the most stable computed form: 0.397 eV/f.u.

Cell: 3.8843 3.8843 7.2237 Å, 90.00 90.00 90.00°
Last column: nearest neighbours and their distance in Å.
Fractional positions:
Au (0.0000, 0.0000, 0.0759)  4 Au 2.77
Au (0.5000, 0.5000, 0.1245)  4 Au 2.77, 1 Sr 2.87
Sr (0.5000, 0.5000, 0.7273)  1 Au 2.87, 4 Cl 2.97
Cl (0.0000, 0.0000, 0.5723)  4 Sr 2.97

Compound: SrAuCl
Source: Alexandria via LeMat-Bulk
Functional: PBE
Structure: optimized geometry

Computed properties:
* calculated volume: 106.0 Å³/f.u.
* DOS at the Fermi energy: 0.00 states/eV/f.u.
* raw formation energy: -1.324 eV per atom
* offset from the most stable computed form: 0.011 eV/f.u.

Cell: 4.4334 4.4334 6.2284 Å, 90.00 90.00 120.00°
Last column: nearest neighbours and their distance in Å.
Fractional positions:
Cl (0.6667, 0.3333, 0.4179)  3 Sr 2.92
Sr (0.3333, 0.6667, 0.6448)  3 Cl 2.92, 3 Au 3.14
Au (0.0000, 0.0000, 0.9373)  3 Sr 3.14

Compound: SrAu2Cl
Source: Alexandria via LeMat-Bulk
Functional: PBE
Structure: optimized geometry

Computed properties:
* calculated volume: 119.3 Å³/f.u.
* DOS at the Fermi energy: 0.69 states/eV/f.u.
* raw formation energy: -0.821 eV per atom
* offset from the most stable computed form: 0.849 eV/f.u.

Cell: 5.4739 5.4739 5.4739 Å, 123.86 108.45 97.27°
Last column: nearest neighbours and their distance in Å.
Fractional positions:
Sr (0.7249, 0.2249, 0.5000)  2 Cl 2.89, 1 Au 3.08
Au (0.0820, 0.0820, 0.0000)  2 Au 2.62
Au (0.1505, 0.6505, 0.5000)  2 Au 2.62
Cl (0.5426, 0.5426, 0.0000)  2 Sr 2.89

Compound: SrAuCl
Source: Alexandria via LeMat-Bulk
Functional: PBE
Structure: optimized geometry

Computed properties:
* calculated volume: 95.7 Å³/f.u.
* DOS at the Fermi energy: 0.00 states/eV/f.u.
* raw formation energy: -1.024 eV per atom
* offset from the most stable computed form: 0.911 eV/f.u.

Cell: 5.1342 5.1342 5.1342 Å, 60.00 60.00 60.00°
Last column: nearest neighbours and their distance in Å.
Fractional positions:
Au (0.7500, 0.7500, 0.7500)  4 Cl 3.14, 4 Sr 3.14
Cl (0.0000, 0.0000, 0.0000)  4 Au 3.14
Sr (0.5000, 0.5000, 0.5000)  4 Au 3.14

Compound: SrAu2Cl
Source: Alexandria via LeMat-Bulk
Functional: PBE
Structure: optimized geometry

Computed properties:
* calculated volume: 111.2 Å³/f.u.
* DOS at the Fermi energy: 0.23 states/eV/f.u.
* raw formation energy: -0.810 eV per atom
* offset from the most stable computed form: 0.893 eV/f.u.

Cell: 4.5092 4.5149 5.4636 Å, 90.00 90.00 90.00°
Last column: nearest neighbours and their distance in Å.
Fractional positions:
Sr (0.5000, 0.5000, 0.7500)  2 Cl 2.73
Au (0.0000, 0.0000, 0.5007)  2 Au 2.72-2.74
Au (0.0000, 0.0000, 0.9993)  2 Au 2.72-2.74
Cl (0.5000, 0.5000, 0.2500)  2 Sr 2.73

Compound: SrAu2Cl
Source: Alexandria via LeMat-Bulk
Functional: PBE
Structure: optimized geometry

Computed properties:
* calculated volume: 123.4 Å³/f.u.
* DOS at the Fermi energy: 1.72 states/eV/f.u.
* raw formation energy: -0.985 eV per atom
* offset from the most stable computed form: 0.194 eV/f.u.

Cell: 4.6476 4.6476 7.0825 Å, 72.12 72.12 59.58°
Last column: nearest neighbours and their distance in Å.
Fractional positions:
Au (0.0196, 0.0196, 0.9270)  3 Au 2.68
Au (0.6931, 0.6931, 0.9109)  3 Au 2.68
Sr (0.2591, 0.2591, 0.2298)  3 Cl 2.99-3.00, 2 Au 3.34
Cl (0.5282, 0.5282, 0.4323)  3 Sr 2.99-3.00

Compound: SrAu2Cl
Source: Alexandria via LeMat-Bulk
Functional: PBE
Structure: optimized geometry

Computed properties:
* calculated volume: 98.7 Å³/f.u.
* DOS at the Fermi energy: 0.63 states/eV/f.u.
* raw formation energy: -0.947 eV per atom
* offset from the most stable computed form: 0.343 eV/f.u.

Cell: 6.0093 4.0450 4.0604 Å, 89.21 90.00 90.00°
Last column: nearest neighbours and their distance in Å.
Fractional positions:
Sr (0.5000, 0.7500, 0.7500)  4 Cl 2.85-2.89
Cl (0.5000, 0.2500, 0.2500)  4 Sr 2.85-2.89
Au (0.0000, 0.9984, 0.9985)  4 Au 2.85-2.90
Au (0.0000, 0.5016, 0.5015)  4 Au 2.85-2.90

Compound: Sr2AuCl
Source: Alexandria via LeMat-Bulk
Functional: PBE
Structure: optimized geometry

Computed properties:
* calculated volume: 121.1 Å³/f.u.
* DOS at the Fermi energy: 2.58 states/eV/f.u.
* raw formation energy: -1.045 eV per atom
* offset from the most stable computed form: 0.878 eV/f.u.

Cell: 5.5530 5.5530 5.5530 Å, 60.00 60.00 60.00°
Last column: nearest neighbours and their distance in Å.
Fractional positions:
Cl (0.0000, 0.0000, 0.0000)  8 Sr 3.40
Au (0.5000, 0.5000, 0.5000)  8 Sr 3.40
Sr (0.2500, 0.2500, 0.2500)  4 Cl 3.40, 4 Au 3.40
Sr (0.7500, 0.7500, 0.7500)  4 Cl 3.40, 4 Au 3.40

Compound: Sr2AuCl
Source: Alexandria via LeMat-Bulk
Functional: PBE
Structure: optimized geometry

Computed properties:
* calculated volume: 140.2 Å³/f.u.
* DOS at the Fermi energy: 1.32 states/eV/f.u.
* raw formation energy: -1.099 eV per atom
* offset from the most stable computed form: 0.661 eV/f.u.

Cell: 8.0396 8.0396 7.1506 Å, 55.79 55.79 90.00°
Last column: nearest neighbours and their distance in Å.
Fractional positions:
Cl (0.2500, 0.7500, 0.5000)  4 Sr 3.00
Cl (0.5000, 0.5000, 0.0000)  4 Sr 3.00
Sr (0.1332, 0.6250, 0.2500)  2 Cl 3.00, 2 Au 3.09
Sr (0.3750, 0.3832, 0.7500)  2 Cl 3.00, 2 Au 3.09
Sr (0.6168, 0.1250, 0.2500)  2 Cl 3.00, 2 Au 3.09
Sr (0.8750, 0.8668, 0.7500)  2 Cl 3.00, 2 Au 3.09
Au (0.0000, 0.0000, 0.0000)  4 Sr 3.09
Au (0.7500, 0.2500, 0.5000)  4 Sr 3.09